# 1
LiY2NbO6 | PBE | relaxed

a = 5.585 Å, b = 5.585 Å, c = 6.016 Å
α = 62.34°, β = 62.35°, γ = 60.00°
Positions (direct):
Li  0.773  0.773  0.682
Y  0.523  0.523  0.431
Y  0.025  0.025  0.924
Nb  0.319  0.319  0.044
O  0.583  0.236  0.218
O  0.236  0.964  0.218
O  0.963  0.583  0.218
O  0.424  0.691  0.760
O  0.691  0.126  0.760
O  0.126  0.424  0.760

Properties
space group	R3, No. 146
energy	-0.3110	Ha/atom
V	137	Å³/f.u.
E_form (uncorrected)	-2998	meV per atom

---

# 2
Li3Nb4ZnO12 | PBE | relaxed

a = 5.249 Å, b = 5.608 Å, c = 7.679 Å
α = 95.07°, β = 90.09°, γ = 90.10°
Positions (direct):
Li  0.501  0.946  0.779
Li  0.501  0.954  0.277
Li  0.000  0.436  0.782
Nb  0.505  0.505  0.989
Nb  0.499  0.523  0.499
Nb  0.998  0.022  0.496
Nb  0.007  0.000  0.991
Zn  0.000  0.452  0.272
O  0.812  0.341  0.543
O  0.630  0.530  0.236
O  0.680  0.843  0.541
O  0.880  0.037  0.235
O  0.805  0.719  0.922
O  0.322  0.846  0.043
O  0.696  0.222  0.919
O  0.122  0.035  0.738
O  0.177  0.351  0.046
O  0.376  0.536  0.739
O  0.299  0.225  0.420
O  0.188  0.716  0.415

Properties
space group	P1, No. 1
energy	-0.2825	Ha/atom
V	225	Å³/f.u.
E_form (uncorrected)	-2346	meV per atom

---

# 3
Li2NbZnO4 | PBE | relaxed

a = 4.163 Å, b = 4.163 Å, c = 5.517 Å
α = 112.16°, β = 112.16°, γ = 90.00°
Last column: magnetic moment on the atom in μB.
Positions (direct):
Li  0.250  0.750  0.500  0.00
Li  0.000  0.000  0.000  0.00
Nb  0.500  0.500  0.000  0.52
Zn  0.750  0.250  0.500  0.01
O  0.998  0.498  0.996  -0.01
O  0.502  0.002  0.004  -0.01
O  0.723  0.723  0.447  0.02
O  0.277  0.277  0.553  0.02

Properties
space group	I-4m2, No. 119
energy	-0.2337	Ha/atom
V	81	Å³/f.u.
E_form (uncorrected)	-1983	meV per atom

---

# 4
LiNb2Os2 | PBE | relaxed

a = 7.613 Å, b = 7.613 Å, c = 3.004 Å
α = 90.00°, β = 90.00°, γ = 90.00°
Positions (direct):
Nb  0.154  0.654  0.500
Nb  0.654  0.846  0.500
Nb  0.846  0.346  0.500
Nb  0.346  0.154  0.500
Os  0.358  0.858  0.000
Os  0.858  0.642  0.000
Os  0.642  0.142  0.000
Os  0.142  0.358  0.000
Li  0.000  0.000  0.000
Li  0.500  0.500  0.000

Properties
space group	P4/mbm, No. 127
energy	-0.3262	Ha/atom
energy of formation	2.6	kJ per mole of atoms
V	87	Å³/f.u.
ΔE to the lowest computed polymorph	0.000	eV/atom

---

# 5
LiNbOs3 | PBE | relaxed

a = 4.796 Å, b = 4.796 Å, c = 4.796 Å
α = 90.00°, β = 90.00°, γ = 90.00°
Last column: magnetic moment on the atom in μB.
Positions (direct):
Nb  0.000  0.000  0.000  -0.10
Os  0.000  0.500  0.000  0.79
Os  0.000  0.000  0.500  0.73
Os  0.500  0.000  0.000  0.68
Li  0.500  0.500  0.500  -0.01

Properties
space group	Pm-3m, No. 221
energy	-0.2602	Ha/atom
energy of formation	198.1	kJ per mole of atoms
V	110	Å³/f.u.
ΔE to the lowest computed polymorph	1.231	eV/atom

---

# 6
LiNb3Os | PBE | relaxed

a = 4.900 Å, b = 4.900 Å, c = 4.900 Å
α = 90.00°, β = 90.00°, γ = 90.00°
Positions (direct):
Nb  0.000  0.500  0.000
Nb  0.000  0.000  0.500
Nb  0.500  0.000  0.000
Os  0.000  0.000  0.000
Li  0.500  0.500  0.500

Properties
space group	Pm-3m, No. 221
energy	-0.2814	Ha/atom
energy of formation	97.7	kJ per mole of atoms
V	118	Å³/f.u.
ΔE to the lowest computed polymorph	0.000	eV/atom

---

# 7
LiNb3Os | PBE | relaxed

a = 4.342 Å, b = 4.342 Å, c = 4.342 Å
α = 90.00°, β = 90.00°, γ = 90.00°
Positions (direct):
Nb  0.000  0.500  0.000
Nb  0.000  0.000  0.500
Nb  0.500  0.000  0.000
Os  0.500  0.500  0.500
Li  0.000  0.000  0.000

Properties
space group	Pm-3m, No. 221
energy	-0.2765	Ha/atom
energy of formation	110.7	kJ per mole of atoms
V	82	Å³/f.u.
ΔE to the lowest computed polymorph	0.134	eV/atom

---

# 8
LiNbOs2 | PBE | relaxed

a = 7.014 Å, b = 7.014 Å, c = 5.606 Å
α = 51.28°, β = 51.28°, γ = 90.00°
Positions (direct):
Nb  0.000  0.000  0.000
Nb  0.750  0.250  0.500
Os  0.628  0.125  0.250
Os  0.122  0.625  0.250
Os  0.375  0.372  0.750
Os  0.875  0.878  0.750
Li  0.500  0.500  0.000
Li  0.250  0.750  0.500

Properties
space group	I-42d, No. 122
energy	-0.2904	Ha/atom
energy of formation	68.3	kJ per mole of atoms
V	64	Å³/f.u.

---

Repeat the first record exactly.
LiY2NbO6 | PBE | relaxed

a = 5.585 Å, b = 5.585 Å, c = 6.016 Å
α = 62.34°, β = 62.35°, γ = 60.00°
Positions (direct):
Li  0.773  0.773  0.682
Y  0.523  0.523  0.431
Y  0.025  0.025  0.924
Nb  0.319  0.319  0.044
O  0.583  0.236  0.218
O  0.236  0.964  0.218
O  0.963  0.583  0.218
O  0.424  0.691  0.760
O  0.691  0.126  0.760
O  0.126  0.424  0.760

Properties
space group	R3, No. 146
energy	-0.3110	Ha/atom
V	137	Å³/f.u.
E_form (uncorrected)	-2998	meV per atom

---

Copy entry 5 word for word.
LiNbOs3 | PBE | relaxed

a = 4.796 Å, b = 4.796 Å, c = 4.796 Å
α = 90.00°, β = 90.00°, γ = 90.00°
Last column: magnetic moment on the atom in μB.
Positions (direct):
Nb  0.000  0.000  0.000  -0.10
Os  0.000  0.500  0.000  0.79
Os  0.000  0.000  0.500  0.73
Os  0.500  0.000  0.000  0.68
Li  0.500  0.500  0.500  -0.01

Properties
space group	Pm-3m, No. 221
energy	-0.2602	Ha/atom
energy of formation	198.1	kJ per mole of atoms
V	110	Å³/f.u.
ΔE to the lowest computed polymorph	1.231	eV/atom